(1)
# LiMgTa2

A relaxed LiMgTa2 crystal (GGA-PBE, Alexandria).

Crystal system: trigonal
DFT formation energy, eV per atom: 0.2601
Magnetic moment, μB/f.u.: 0.0
Density of states at the Fermi level, states/eV/f.u.: 3.719
E, Ry per atom: -0.48093

Cell lengths 10.5310, 10.5310, 10.5310 Å; angles 15.74, 15.74, 15.74 degrees
Sites, in units of the cell vectors:
Mg  0.7509  0.7509  0.7509
Ta  0.9996  0.9996  0.9996
Ta  0.2493  0.2493  0.2493
Li  0.5002  0.5002  0.5002


(2)
# AlCdNi

A relaxed AlCdNi crystal (GGA-PBE, Alexandria).

Crystal system: cubic
DFT formation energy, eV per atom: 0.3629
Magnetic moment, μB/f.u.: 0.0
Excess energy over the best structure of this formula in the dataset, meV per atom: 549
Density of states at the Fermi level, states/eV/f.u.: 1.823
E, Ry per atom: -0.22908

Cell lengths 4.2858, 4.2858, 4.2858 Å; angles 60.00, 60.00, 60.00 degrees
Sites, in units of the cell vectors:
Al  0.5000  0.5000  0.5000
Cd  0.7500  0.7500  0.7500
Ni  0.0000  0.0000  0.0000


(3)
# Rb2Zr3MnS8

A relaxed Rb2Zr3MnS8 crystal (GGA-PBE, Alexandria).

Crystal system: trigonal
Energy relative to the elements, uncorrected, meV per atom: -1382
Magnetic moment, μB/f.u.: 5.0
Density of states at the Fermi level, states/eV/f.u.: 0.931
E, Ry per atom: -0.46788

Cell lengths 7.4700, 7.4700, 9.3265 Å; angles 66.39, 66.39, 60.00 degrees
Each line ends with the local moment (μB).
Sites, in units of the cell vectors:
Rb  0.1404  0.1404  0.5788  0.00
Rb  0.4887  0.4887  0.5340  0.00
Zr  0.4912  0.4912  0.0327  0.04
Zr  0.4912  0.9849  0.0327  0.04
Zr  0.9849  0.4912  0.0327  0.04
S  0.2681  0.7619  0.2081  0.02
S  0.7619  0.2681  0.2081  0.02
S  0.7100  0.2142  0.8616  0.03
S  0.2142  0.2142  0.8616  0.03
S  0.2657  0.2657  0.2030  0.00
S  0.2142  0.7100  0.8616  0.03
S  0.7619  0.7619  0.2081  0.02
S  0.7157  0.7157  0.8529  0.00
Mn  0.9846  0.9846  0.0461  4.24


(4)
# Er2Tm8Th3

A relaxed Er2Tm8Th3 crystal (GGA-PBE, Alexandria).

Crystal system: monoclinic
DFT formation energy, eV per atom: 0.2796
Magnetic moment, μB/f.u.: 0.0
Excess energy over the best structure of this formula in the dataset, meV per atom: 116
Density of states at the Fermi level, states/eV/f.u.: 20.016
E, Ry per atom: -0.35914

Cell lengths 6.6538, 9.1944, 8.7271 Å; angles 121.79, 105.29, 90.00 degrees
Sites, in units of the cell vectors:
Tm  0.7809  0.4146  0.8292
Tm  0.6853  0.7927  0.2289
Tm  0.3147  0.5639  0.7711
Tm  0.6853  0.4361  0.2289
Tm  0.2191  0.5854  0.1708
Tm  0.9199  0.2049  0.4099
Tm  0.0801  0.7951  0.5901
Tm  0.3147  0.2073  0.7711
Er  0.5918  0.8016  0.6033
Er  0.4082  0.1984  0.3967
Th  0.0000  0.1689  0.0000
Th  0.0000  0.8311  0.0000
Th  0.5000  0.0000  0.0000


(5)
# LaTbSm3Er

A relaxed LaTbSm3Er crystal (GGA-PBE, Alexandria).

Crystal system: monoclinic
DFT formation energy, eV per atom: 0.2005
Magnetic moment, μB/f.u.: 0.0
Density of states at the Fermi level, states/eV/f.u.: 8.737
E, Ry per atom: -0.33166

Cell lengths 5.7697, 10.6126, 6.8952 Å; angles 90.95, 90.00, 105.77 degrees
Sites, in units of the cell vectors:
Tb  0.3556  0.7112  0.5303
Tb  0.6444  0.2888  0.4697
Sm  0.8407  0.6813  0.2618
Sm  0.1593  0.3187  0.7382
Sm  0.2199  0.4398  0.2550
Sm  0.5202  0.0405  0.7446
Sm  0.7801  0.5602  0.7450
Sm  0.4798  0.9595  0.2554
La  0.3548  0.7097  0.9734
La  0.6452  0.2903  0.0266
Er  0.9433  0.8867  0.7319
Er  0.0567  0.1133  0.2681


(6)
# TaNi14Sn

A relaxed TaNi14Sn crystal (GGA-PBE, Alexandria).

Crystal system: tetragonal
DFT formation energy, eV per atom: -0.0965
Magnetic moment, μB/f.u.: 4.0
Density of states at the Fermi level, states/eV/f.u.: 27.379
E, Ry per atom: -0.45173

Cell lengths 5.1433, 5.1433, 7.1258 Å; angles 90.00, 90.00, 90.00 degrees
Each line ends with the local moment (μB).
Sites, in units of the cell vectors:
Ni  0.1218  0.6282  0.2382  0.27
Ni  0.3750  0.3750  0.0000  0.50
Ni  0.3750  0.8750  0.5000  0.07
Ni  0.1218  0.1218  0.2382  0.27
Ni  0.8750  0.8750  0.0000  0.63
Ni  0.8750  0.3750  0.5000  0.07
Ni  0.6282  0.1218  0.7618  0.27
Ni  0.6282  0.6282  0.7618  0.27
Ni  0.3750  0.8750  0.0000  0.48
Ni  0.8750  0.3750  0.0000  0.48
Ni  0.1218  0.6282  0.7618  0.27
Ni  0.1218  0.1218  0.7618  0.27
Ni  0.6282  0.1218  0.2382  0.27
Ni  0.6282  0.6282  0.2382  0.27
Ta  0.8750  0.8750  0.5000  -0.08
Sn  0.3750  0.3750  0.5000  -0.02


- density of states at the Fermi level of number 6 (TaNi14Sn)?
  27.379 states/eV/f.u.


- Among the records above, which one has the highest density of states at the Fermi level?
  TaNi14Sn


- The lowest E belongs to which entry?
  LiMgTa2